# SiNiP2

A crystal of SiNiP2 relaxed with PBEsol (meta-GGA SCAN, Alexandria).

Lattice parameters (Å, degrees): 2.538 2.538 8.267 90.00 90.00 90.00
Fractional positions:
Si1 0.000 0.000 0.000
Ni1 0.500 0.500 0.205
P1 0.000 0.000 0.398
P2 0.500 0.500 0.737

## Properties
M_tot   0.0 μB/f.u.
Space-group type   P4mm (99)
Formation energy from raw total energies   1.27 eV/f.u.

=====

# SiNiP2

A crystal of SiNiP2 relaxed with PBEsol (meta-GGA SCAN, Alexandria).

Lattice parameters (Å, degrees): 3.664 3.664 5.767 111.29 111.29 51.16
Fractional positions:
Si1 0.000 0.000 0.000
Ni1 0.768 0.768 0.226
P1 0.183 0.183 0.730
P2 0.543 0.543 0.420

## Properties
M_tot   0.0 μB/f.u.
Space-group type   Cm (8)
Formation energy from raw total energies   -0.09 eV/f.u.

=====

# Ni10SnP3

A crystal of Ni10SnP3 relaxed with PBEsol (meta-GGA SCAN, Alexandria).

Lattice parameters (Å, degrees): 7.582 7.582 9.482 90.00 90.00 120.00
Fractional positions:
Ni1 0.000 0.000 0.120
Ni2 0.000 0.000 0.880
Ni3 0.000 0.338 0.000
Ni4 0.000 0.662 0.000
Ni5 0.018 0.509 0.741
Ni6 0.138 0.276 0.301
Ni7 0.138 0.862 0.301
Ni8 0.189 0.378 0.573
Ni9 0.189 0.811 0.573
Ni10 0.276 0.138 0.699
Ni11 0.333 0.667 0.404
Ni12 0.333 0.667 0.883
Ni13 0.338 0.000 0.000
Ni14 0.338 0.338 0.000
Ni15 0.378 0.189 0.427
Ni16 0.491 0.509 0.741
Ni17 0.491 0.982 0.741
Ni18 0.509 0.018 0.259
Ni19 0.509 0.491 0.259
Ni20 0.622 0.811 0.573
Ni21 0.662 0.000 0.000
Ni22 0.662 0.662 0.000
Ni23 0.667 0.333 0.117
Ni24 0.667 0.333 0.596
Ni25 0.724 0.862 0.301
Ni26 0.811 0.189 0.427
Ni27 0.811 0.622 0.427
Ni28 0.862 0.138 0.699
Ni29 0.862 0.724 0.699
Ni30 0.982 0.491 0.259
Sn1 0.000 0.000 0.500
Sn2 0.333 0.667 0.139
Sn3 0.667 0.333 0.861
P1 0.000 0.500 0.500
P2 0.164 0.329 0.809
P3 0.164 0.836 0.809
P4 0.329 0.164 0.191
P5 0.500 0.000 0.500
P6 0.500 0.500 0.500
P7 0.671 0.836 0.809
P8 0.836 0.164 0.191
P9 0.836 0.671 0.191

## Properties
M_tot   0.0 μB/f.u.
ΔE_f   -404 meV/atom
Space-group type   P-3m1 (164)

=====

# TcNiSnP2

A crystal of TcNiSnP2 relaxed with PBEsol (meta-GGA SCAN, Alexandria).

Lattice parameters (Å, degrees): 4.153 4.153 5.009 90.00 90.00 90.00
Fractional positions:
Tc1 0.000 0.000 0.000
Ni1 0.000 0.000 0.500
Sn1 0.500 0.500 0.000
P1 0.000 0.500 0.500
P2 0.500 0.000 0.500

## Properties
M_tot   3.0 μB/f.u.
ΔE_f   733 meV/atom
Space-group type   P4/mmm (123)

=====

Ρ readings, ordered: 4.64 4.47 8.43 6.48 g cm⁻³